<a>
A plane-wave DFT calculation with PBE was carried out for an optimized crystal structure of KBrCl.

abc: 5.101 5.101 4.709
angles: 90.00 90.00 120.00
Each line ends with the local moment (μB).
Atoms (fractional coordinates):
Cl1 0.667 0.333 0.418  0.34
Br1 0.000 0.000 0.975  0.43
K1 0.333 0.667 0.606  0.00

Results
SG	No. 156
volume	35.37	A^3/atom
N(E_F)	1.5210	states/eV/atom

---

<b>
A plane-wave DFT calculation with PBE was carried out for an optimized crystal structure of KBrCl.

abc: 5.837 10.277 5.079
angles: 67.11 128.45 112.22
Each line ends with the local moment (μB).
Atoms (fractional coordinates):
Br1 0.732 0.801 0.742  0.26
Br2 0.436 0.025 0.629  0.27
Cl1 0.379 0.417 0.253  0.01
Cl2 0.374 0.405 0.760  0.00
K1 0.051 0.668 0.568  0.00
K2 0.846 0.158 0.320  0.00

Results
SG	No. 1
volume	35.98	A^3/atom
N(E_F)	0.3766	states/eV/atom

---

<c>
A plane-wave DFT calculation with PBE was carried out for an optimized crystal structure of KBrCl.

abc: 5.369 5.369 5.369
angles: 60.00 60.00 60.00
Each line ends with the local moment (μB).
Atoms (fractional coordinates):
Cl1 0.750 0.750 0.750  0.34
Br1 0.500 0.500 0.500  0.44
K1 0.000 0.000 0.000  0.00

Results
SG	No. 216
volume	36.48	A^3/atom
N(E_F)	1.3598	states/eV/atom

---

<d>
A plane-wave DFT calculation with PBE was carried out for an optimized crystal structure of KBrCl.

abc: 4.424 4.552 10.886
angles: 91.24 101.72 90.00
Atoms (fractional coordinates):
Cl1 0.317 0.267 0.635
K1 0.166 0.238 0.333
Cl2 0.683 0.733 0.365
Br1 0.553 0.913 0.107
K2 0.834 0.762 0.667
Br2 0.447 0.087 0.893

Results
SG	No. 12
volume	35.76	A^3/atom
N(E_F)	0.0000	states/eV/atom

---

What should be chosen as the least stable of them? Choose <a>.

---

<a>
A plane-wave DFT calculation with PBE was carried out for an optimized crystal structure of KBr4Cl.

abc: 7.969 7.969 9.272
angles: 115.45 115.45 90.00
Atoms (fractional coordinates):
Br1 0.244 0.840 0.680
Br2 0.936 0.840 0.680
Br3 0.756 0.160 0.320
K1 0.125 0.375 0.750
Br4 0.660 0.256 0.820
Cl1 0.375 0.125 0.250
Br5 0.340 0.436 0.180
K2 0.875 0.625 0.250
Br6 0.660 0.564 0.820
Br7 0.340 0.744 0.180
Br8 0.064 0.160 0.320
Cl2 0.625 0.875 0.750

Results
SG	No. 141
volume	38.97	A^3/atom

---

<b>
A plane-wave DFT calculation with PBE was carried out for an optimized crystal structure of KBr4Cl.

abc: 6.275 6.275 6.275
angles: 60.00 60.00 60.00
Each line ends with the local moment (μB).
Atoms (fractional coordinates):
Br1 0.874 0.375 0.375  0.01
Br2 0.375 0.375 0.375  0.01
Br3 0.375 0.375 0.874  0.01
Cl1 0.750 0.750 0.750  -0.08
Br4 0.375 0.874 0.375  0.01
K1 0.000 0.000 0.000  0.00

Results
SG	No. 216
volume	29.11	A^3/atom
N(E_F)	1.6161	states/eV/atom

---

What should be chosen as the least stable of them? Choose <b>.